Record 1
# TmLuMnOs

A relaxed structure of TmLuMnOs (PBE, the Alexandria database).

Cell lengths 6.816, 6.816, 6.816 Å; angles 90.00, 90.00, 90.00 degrees
Fractional positions:
Tm: 0.000 0.000 0.000
Tm: 0.000 0.500 0.500
Tm: 0.500 0.000 0.500
Tm: 0.500 0.500 0.000
Lu: 0.000 0.000 0.500
Lu: 0.000 0.500 0.000
Lu: 0.500 0.000 0.000
Lu: 0.500 0.500 0.500
Mn: 0.250 0.250 0.250
Mn: 0.250 0.750 0.750
Mn: 0.750 0.250 0.750
Mn: 0.750 0.750 0.250
Os: 0.250 0.250 0.750
Os: 0.250 0.750 0.250
Os: 0.750 0.250 0.250
Os: 0.750 0.750 0.750

Computed properties:
**E_form**: -0.0980 eV per atom
**Crystal system**: cubic
**Total DFT energy (no corrections)**: -119.14 eV per cell

=====

Record 2
# LuUMnOs

A relaxed structure of LuUMnOs (PBE, the Alexandria database).

Cell lengths 6.729, 6.729, 6.729 Å; angles 90.00, 90.00, 90.00 degrees
Fractional positions:
Lu: 0.000 0.000 0.000
Lu: 0.000 0.500 0.500
Lu: 0.500 0.000 0.500
Lu: 0.500 0.500 0.000
U: 0.000 0.000 0.500
U: 0.000 0.500 0.000
U: 0.500 0.000 0.000
U: 0.500 0.500 0.500
Mn: 0.250 0.250 0.750
Mn: 0.250 0.750 0.250
Mn: 0.750 0.250 0.250
Mn: 0.750 0.750 0.750
Os: 0.250 0.250 0.250
Os: 0.250 0.750 0.750
Os: 0.750 0.250 0.750
Os: 0.750 0.750 0.250

Computed properties:
**E_form**: 0.0238 eV per atom
**Crystal system**: cubic
**Total DFT energy (no corrections)**: -144.45 eV per cell

=====

Record 3
# YLuMnOs

A relaxed structure of YLuMnOs (PBE, the Alexandria database).

Cell lengths 6.879, 6.879, 6.879 Å; angles 90.00, 90.00, 90.00 degrees
Fractional positions:
Y: 0.000 0.000 0.000
Y: 0.000 0.500 0.500
Y: 0.500 0.000 0.500
Y: 0.500 0.500 0.000
Lu: 0.000 0.000 0.500
Lu: 0.000 0.500 0.000
Lu: 0.500 0.000 0.000
Lu: 0.500 0.500 0.500
Mn: 0.250 0.250 0.250
Mn: 0.250 0.750 0.750
Mn: 0.750 0.250 0.750
Mn: 0.750 0.750 0.250
Os: 0.250 0.250 0.750
Os: 0.250 0.750 0.250
Os: 0.750 0.250 0.250
Os: 0.750 0.750 0.750

Computed properties:
**E_form**: -0.0395 eV per atom
**Crystal system**: cubic
**Total DFT energy (no corrections)**: -126.17 eV per cell

=====

Record 4
# LuPaMn2

A relaxed structure of LuPaMn2 (PBE, the Alexandria database).

Cell lengths 6.664, 6.664, 6.664 Å; angles 90.00, 90.00, 90.00 degrees
Fractional positions:
Lu: 0.000 0.000 0.000
Lu: 0.000 0.500 0.500
Lu: 0.500 0.000 0.500
Lu: 0.500 0.500 0.000
Pa: 0.000 0.000 0.500
Pa: 0.000 0.500 0.000
Pa: 0.500 0.000 0.000
Pa: 0.500 0.500 0.500
Mn: 0.250 0.250 0.250
Mn: 0.250 0.250 0.750
Mn: 0.250 0.750 0.250
Mn: 0.250 0.750 0.750
Mn: 0.750 0.250 0.250
Mn: 0.750 0.250 0.750
Mn: 0.750 0.750 0.250
Mn: 0.750 0.750 0.750

Computed properties:
**E_form**: 0.1139 eV per atom
**Crystal system**: cubic
**Total DFT energy (no corrections)**: -127.60 eV per cell
**Energy above the most stable polymorph in this dataset**: 0.0696 eV/atom

=====

Record 5
# LuPaMn

A relaxed structure of LuPaMn (PBE, the Alexandria database).

Cell lengths 3.328, 3.328, 11.202 Å; angles 90.00, 90.00, 90.00 degrees
Fractional positions:
Lu: 0.000 0.000 0.000
Lu: 0.500 0.500 0.500
Pa: 0.000 0.000 0.290
Pa: 0.500 0.500 0.790
Mn: 0.000 0.000 0.681
Mn: 0.500 0.500 0.181

Computed properties:
**E_form**: 0.0377 eV per atom
**Crystal system**: tetragonal
**Total DFT energy (no corrections)**: -46.15 eV per cell

=====

Record 6
# LuPa2Mn

A relaxed structure of LuPa2Mn (PBE, the Alexandria database).

Cell lengths 3.192, 3.192, 8.906 Å; angles 90.00, 90.00, 90.00 degrees
Fractional positions:
Lu: 0.000 0.000 0.000
Pa: 0.500 0.500 0.307
Pa: 0.500 0.500 0.693
Mn: 0.000 0.000 0.500

Computed properties:
**E_form**: 0.1695 eV per atom
**Crystal system**: tetragonal
**Total DFT energy (no corrections)**: -32.00 eV per cell
**Energy above the most stable polymorph in this dataset**: 0.0175 eV/atom

=====

Record 7
# LuPaMn2

A relaxed structure of LuPaMn2 (PBE, the Alexandria database).

Cell lengths 3.301, 3.301, 23.708 Å; angles 90.00, 90.00, 120.00 degrees
Fractional positions:
Lu: 0.000 0.000 0.000
Lu: 0.333 0.667 0.667
Lu: 0.667 0.333 0.333
Pa: 0.000 0.000 0.500
Pa: 0.333 0.667 0.167
Pa: 0.667 0.333 0.833
Mn: 0.000 0.000 0.241
Mn: 0.000 0.000 0.759
Mn: 0.333 0.667 0.426
Mn: 0.333 0.667 0.907
Mn: 0.667 0.333 0.093
Mn: 0.667 0.333 0.574

Computed properties:
**E_form**: 0.3096 eV per atom
**Crystal system**: trigonal
**Total DFT energy (no corrections)**: -93.35 eV per cell
**Energy above the most stable polymorph in this dataset**: 0.2653 eV/atom

=====

Record 8
# LuPa2Mn

A relaxed structure of LuPa2Mn (PBE, the Alexandria database).

Cell lengths 3.581, 3.581, 25.736 Å; angles 90.00, 90.00, 120.00 degrees
Fractional positions:
Lu: 0.000 0.000 0.000
Lu: 0.333 0.667 0.667
Lu: 0.667 0.333 0.333
Pa: 0.000 0.000 0.227
Pa: 0.000 0.000 0.773
Pa: 0.333 0.667 0.439
Pa: 0.333 0.667 0.894
Pa: 0.667 0.333 0.106
Pa: 0.667 0.333 0.561
Mn: 0.000 0.000 0.500
Mn: 0.333 0.667 0.167
Mn: 0.667 0.333 0.833

Computed properties:
**E_form**: 0.1520 eV per atom
**Crystal system**: trigonal
**Total DFT energy (no corrections)**: -96.22 eV per cell
**Energy above the most stable polymorph in this dataset**: 0.0000 eV/atom

=====

Record 9
# LuPaMn2

A relaxed structure of LuPaMn2 (PBE, the Alexandria database).

Cell lengths 3.326, 3.326, 6.799 Å; angles 90.00, 90.00, 90.00 degrees
Fractional positions:
Lu: 0.000 0.000 0.000
Pa: 0.000 0.000 0.500
Mn: 0.500 0.500 0.291
Mn: 0.500 0.500 0.709

Computed properties:
**E_form**: 0.0443 eV per atom
**Crystal system**: tetragonal
**Total DFT energy (no corrections)**: -32.18 eV per cell
**Energy above the most stable polymorph in this dataset**: 0.0000 eV/atom

=====

Record 10
# LuPaMn2

A relaxed structure of LuPaMn2 (PBE, the Alexandria database).

Cell lengths 4.719, 4.719, 3.339 Å; angles 90.00, 90.00, 90.00 degrees
Fractional positions:
Lu: 0.000 0.000 0.000
Pa: 0.500 0.500 0.000
Mn: 0.000 0.500 0.500
Mn: 0.500 0.000 0.500

Computed properties:
**E_form**: 0.1307 eV per atom
**Crystal system**: tetragonal
**Total DFT energy (no corrections)**: -31.83 eV per cell
**Energy above the most stable polymorph in this dataset**: 0.0864 eV/atom

=====

Record 11
# LuPaMnRe

A relaxed structure of LuPaMnRe (PBE, the Alexandria database).

Cell lengths 6.792, 6.792, 6.792 Å; angles 90.00, 90.00, 90.00 degrees
Fractional positions:
Lu: 0.000 0.000 0.000
Lu: 0.000 0.500 0.500
Lu: 0.500 0.000 0.500
Lu: 0.500 0.500 0.000
Pa: 0.000 0.000 0.500
Pa: 0.000 0.500 0.000
Pa: 0.500 0.000 0.000
Pa: 0.500 0.500 0.500
Mn: 0.250 0.250 0.750
Mn: 0.250 0.750 0.250
Mn: 0.750 0.250 0.250
Mn: 0.750 0.750 0.750
Re: 0.250 0.250 0.250
Re: 0.250 0.750 0.750
Re: 0.750 0.250 0.750
Re: 0.750 0.750 0.250

Computed properties:
**E_form**: 0.0381 eV per atom
**Crystal system**: cubic
**Total DFT energy (no corrections)**: -141.93 eV per cell

=====

Record 12
# LuPaMnTc

A relaxed structure of LuPaMnTc (PBE, the Alexandria database).

Cell lengths 6.743, 6.743, 6.743 Å; angles 90.00, 90.00, 90.00 degrees
Fractional positions:
Lu: 0.000 0.000 0.000
Lu: 0.000 0.500 0.500
Lu: 0.500 0.000 0.500
Lu: 0.500 0.500 0.000
Pa: 0.000 0.000 0.500
Pa: 0.000 0.500 0.000
Pa: 0.500 0.000 0.000
Pa: 0.500 0.500 0.500
Mn: 0.250 0.250 0.250
Mn: 0.250 0.750 0.750
Mn: 0.750 0.250 0.750
Mn: 0.750 0.750 0.250
Tc: 0.250 0.250 0.750
Tc: 0.250 0.750 0.250
Tc: 0.750 0.250 0.250
Tc: 0.750 0.750 0.750

Computed properties:
**E_form**: -0.0545 eV per atom
**Crystal system**: cubic
**Total DFT energy (no corrections)**: -135.08 eV per cell